Below is a relaxed ZrCoTe2I crystal, with properties calculated at the PBE level.

Values from the calculation:
Formation energy (no corrections): 34.6 kJ/mol of atoms
Total magnetic moment: 0.000 μB per formula unit
ΔE to the lowest computed polymorph: 0 meV/atom

a b c (Å): 5.0259 5.0259 5.0395
angles (deg): 90.00 90.00 90.00
Space group P4/mmm (No. 123)
Inequivalent atoms, fractional coordinates:
Zr: 0.0000 0.0000 0.0000 [1 per cell]
Co: 0.5000 0.5000 0.5000 [1 per cell]
Te: 0.0000 0.5000 0.5000 [2 per cell]
I: 0.5000 0.5000 0.0000 [1 per cell]